Entry 1:
## NdBe2Al (GGA-PBE)

Data for a relaxed structure of NdBe2Al.

abc: 5.577 5.577 5.577
angles: 41.95 41.95 41.95
Sites, in units of the cell vectors:
1 Nd 0.000 0.000 0.000
2 Be 0.197 0.197 0.197
3 Be 0.803 0.803 0.803
4 Al 0.500 0.500 0.500

* DFT formation energy: -0.43 eV per formula unit
* SG: R-3m, No. 166
* DFT total energy: -0.151 Ha/atom
* magnetization: 0.00 μB per cell


Entry 2:
## Ac2YAu (GGA-PBE)

Data for a relaxed structure of Ac2YAu.

abc: 12.224 12.224 12.224
angles: 18.08 18.08 18.08
Sites, in units of the cell vectors:
1 Ac 0.083 0.083 0.083
2 Ac 0.917 0.917 0.917
3 Y 0.500 0.500 0.500
4 Au 0.000 0.000 0.000

* DFT formation energy: 0.63 eV per formula unit
* SG: R-3m, No. 166
* DFT total energy: -0.159 Ha/atom
* magnetization: 0.00 μB per cell
* E above lowest polymorph: 11.35 kcal/mol of atoms


Entry 3:
## CrTcN (GGA-PBE)

Data for a relaxed structure of CrTcN.

abc: 5.029 7.296 4.175
angles: 90.00 111.71 90.00
Sites, in units of the cell vectors:
1 Cr 0.056 0.167 0.027
2 Cr 0.056 0.333 0.527
3 Cr 0.944 0.667 0.473
4 Cr 0.944 0.833 0.973
5 Tc 0.287 0.519 0.123
6 Tc 0.287 0.981 0.623
7 Tc 0.713 0.019 0.377
8 Tc 0.713 0.481 0.877
9 N 0.292 0.552 0.629
10 N 0.292 0.948 0.129
11 N 0.708 0.052 0.871
12 N 0.708 0.448 0.371

* formation energy without anion corrections: 0.0278 eV per atom
* SG: P2_1/c, No. 14
* DFT total energy: -0.346 Ha/atom
* magnetization: 0.00 μB per cell
* E above lowest polymorph: 0.00 kcal/mol of atoms


Entry 4:
## Hf4Zn (GGA-PBE)

Data for a relaxed structure of Hf4Zn.

abc: 4.934 4.934 4.934
angles: 90.00 90.00 90.00
Sites, in units of the cell vectors:
1 Hf 0.000 0.000 0.000
2 Hf 0.000 0.500 0.500
3 Hf 0.500 0.000 0.500
4 Hf 0.500 0.500 0.000
5 Zn 0.500 0.500 0.500

* DFT formation energy: 3.68 eV per formula unit
* SG: Pm-3m, No. 221
* DFT total energy: -0.275 Ha/atom
* magnetization: 2.51 μB per cell
* E above lowest polymorph: 18.51 kcal/mol of atoms